DFT (PBE) results for a geometry-optimized Ac2PuTl3Te6 structure.

**SG**: C2/m (12)
**Electronic total energy**: -5.0483 eV per atom

abc: 8.1858 8.1858 8.5676
angles: 99.18 99.18 119.98
With the nearest neighbours (Å) after each atom.
Sites, in units of the cell vectors:
Ac  0.3337  0.6663  0.0000  6 Te 3.33-3.34
Ac  0.6663  0.3337  0.0000  6 Te 3.33-3.34
Pu  0.0000  0.0000  0.0000  6 Te 3.18-3.19
Tl  0.1689  0.8311  0.5000  6 Te 3.49-3.61
Tl  0.8311  0.1689  0.5000  6 Te 3.49-3.61
Tl  0.5000  0.5000  0.5000  6 Te 3.49-3.61
Te  0.9259  0.6068  0.7770  1 Pu 3.18, 2 Ac 3.33, 2 Tl 3.49
Te  0.7568  0.7568  0.2264  1 Pu 3.19, 2 Ac 3.34, 2 Tl 3.49
Te  0.0741  0.3932  0.2230  1 Pu 3.18, 2 Ac 3.33, 2 Tl 3.49
Te  0.6068  0.9259  0.7770  1 Pu 3.18, 2 Ac 3.33, 2 Tl 3.49
Te  0.2432  0.2432  0.7736  1 Pu 3.19, 2 Ac 3.34, 2 Tl 3.49
Te  0.3932  0.0741  0.2230  1 Pu 3.18, 2 Ac 3.33, 2 Tl 3.49